VASP calculation (PBE) on an optimized crystal structure of PuSi2Pt.

The calculation puts the energy relative to the elements, uncorrected at -0.75 eV/atom. The total moment is 1.261 μB/atom.

It has space group Immm (No. 71), with a = 4.293 Å, b = 8.508 Å, c = 16.040 Å, α = 90.00°, β = 90.00° and γ = 90.00°. The distinct sites, in fractional coordinates, are Pu at (0.000, 0.000, 0.202), Pu at (0.000, 0.242, 0.000), Si at (0.000, 0.000, 0.428), Si at (0.000, 0.352, 0.199), Si at (0.000, 0.500, 0.427) and Pt at (0.000, 0.246, 0.352).